Here is crystalline Ba2LiV2Si4O14 at its relaxed geometry from the Alexandria database. Energies are from PBE with a Hubbard U.

Unit cell a=5.5061 b=7.2633 c=8.1693 alpha=90.82 beta=109.12 gamma=90.84
Fractional coordinates of all 23 atoms:
Ba1 0.1878 0.7429 0.4037
Ba2 0.7790 0.2372 0.5915
Li1 0.8624 0.4833 0.0048
V1 0.8680 0.7493 0.7716
V2 0.1037 0.2249 0.2021
Si1 0.5807 0.5185 0.2015
Si2 0.3643 0.4696 0.7813
Si3 0.5943 0.9655 0.2068
Si4 0.3784 0.0200 0.7919
O1 0.8711 0.4442 0.2578
O2 0.5811 0.5546 0.7026
O3 0.8854 0.0469 0.2925
O4 0.5800 0.9316 0.7030
O5 0.4748 0.5065 0.9888
O6 0.4820 0.9915 0.9982
O7 0.9718 0.7369 0.9846
O8 0.9719 0.2554 0.9692
O9 0.6092 0.7419 0.2572
O10 0.3476 0.2431 0.7340
O11 0.3887 0.4283 0.2920
O12 0.0803 0.5564 0.6926
O13 0.3981 0.0451 0.2994
O14 0.0884 0.9306 0.7012

Calculated values
Uncorrected energy in eV/atom: -7.46